# 1
# Mg3GaI

A relaxed Mg3GaI crystal (GGA-PBE, the Alexandria database).

## Properties
The value obtained for the density of states at the Fermi level is 0.00 states/eV/cell. As for the energy above the most stable polymorph in this dataset: 0.0 meV/atom.

a b c (Å): 5.203 5.203 5.203
angles (deg): 90.00 90.00 90.00
Space group Pm-3m (No. 221)
Unique sites:
Mg  0.000  0.000  0.500 x3
Ga  0.000  0.000  0.000 x1
I  0.500  0.500  0.500 x1

# 2
# MgGa6I12

A relaxed MgGa6I12 crystal (GGA-PBE, the Alexandria database).

## Properties
The value obtained for the density of states at the Fermi level is 35.92 states/eV/cell.

a b c (Å): 10.8736 10.8736 22.5627
angles (deg): 90.00 90.00 120.00
Space group R-3 (No. 148, hexagonal axes)
Unique sites:
Mg  0.0000  0.0000  0.0000 x3
Ga  0.0143  0.8435  0.2892 x18
I  0.0628  0.8297  0.9173 x18
I  0.0674  0.8228  0.4083 x18

# 3
# MgGaI3

A relaxed MgGaI3 crystal (GGA-PBE, the Alexandria database).

## Properties
The value obtained for the density of states at the Fermi level is 1.81 states/eV/cell. As for the energy above the most stable polymorph in this dataset: 571.2 meV/atom.

a b c (Å): 5.703 5.703 5.703
angles (deg): 90.00 90.00 90.00
Space group Pm-3m (No. 221)
Unique sites:
Mg  0.000  0.000  0.000 x1
Ga  0.500  0.500  0.500 x1
I  0.000  0.500  0.500 x3

# 4
# MgGaMoI2

A relaxed MgGaMoI2 crystal (GGA-PBE, the Alexandria database).

## Properties
The value obtained for the density of states at the Fermi level is 0.32 states/eV/cell.

a b c (Å): 5.780 5.780 5.586
angles (deg): 90.00 90.00 90.00
Space group P4/mmm (No. 123)
Unique sites:
Mg  0.000  0.000  0.000 x1
Ga  0.500  0.500  0.500 x1
Mo  0.000  0.000  0.500 x1
I  0.000  0.500  0.000 x2

# 5
# Mg2GaIN

A relaxed Mg2GaIN crystal (GGA-PBE, the Alexandria database).

## Properties
The value obtained for the density of states at the Fermi level is 3.89 states/eV/cell.

a b c (Å): 5.552 5.552 5.832
angles (deg): 90.00 90.00 90.00
Space group P4/mmm (No. 123)
Unique sites:
Mg  0.000  0.500  0.000 x2
Ga  0.000  0.000  0.500 x1
I  0.000  0.000  0.000 x1
N  0.500  0.500  0.500 x1

# 6
# MgGaIO6

A relaxed MgGaIO6 crystal (GGA-PBE, the Alexandria database).

## Properties
The value obtained for the density of states at the Fermi level is 0.00 states/eV/cell.

a b c (Å): 5.0746 5.0746 9.1968
angles (deg): 90.00 90.00 120.00
Space group P-31c (No. 163)
Unique sites:
Mg  0.0000  0.0000  0.0000 x2
Ga  0.3333  0.6667  0.2500 x2
I  0.3333  0.6667  0.7500 x2
O  0.0144  0.3625  0.6344 x12

Results for total magnetic moment: 0.00, 0.00, 0.00, 5.01, 0.00, 0.00 (in μB per formula unit, following the order of the records).
Results for formation energy (no corrections): -0.171, -0.350, -0.150, 0.810, 1.693, -1.265 (in eV per atom, following the order of the records).